{
  "formula": "K2TaBe",
  "functional": "SCAN",
  "state": "single point on PBEsol structure",
  "e_form_kcal_per_mol_atoms": 31.34,
  "lattice": [[-0.371, -2.638, -1.137], [2.691, 0.601, 0.886], [-2.656, -4.383, 11.041]],
  "species": ["Be", "K", "K", "Ta"],
  "fractional_positions": [[0.500, 0.500, 0.000], [0.000, 0.000, 0.237], [0.000, 0.000, 0.763], [0.500, 0.500, 0.500]]
}

***

{
  "formula": "K4TaBe",
  "functional": "SCAN",
  "state": "single point on PBEsol structure",
  "e_form_kcal_per_mol_atoms": 36.53,
  "lattice": [[6.804, 0.000, 0.000], [3.402, 5.893, 0.000], [3.402, 1.964, 5.556]],
  "species": ["Be", "K", "K", "K", "K", "Ta"],
  "fractional_positions": [[0.000, 0.000, 0.000], [0.375, 0.375, 0.375], [0.375, 0.375, 0.875], [0.875, 0.375, 0.375], [0.375, 0.875, 0.375], [0.750, 0.750, 0.750]]
}

***

{
  "formula": "KTa2Be",
  "functional": "SCAN",
  "state": "single point on PBEsol structure",
  "e_form_kcal_per_mol_atoms": 20.42,
  "lattice": [[-2.557, 1.018, -0.714], [-2.290, -0.711, 1.528], [-0.010, 8.588, 6.625]],
  "species": ["Be", "K", "Ta", "Ta"],
  "fractional_positions": [[0.500, 0.500, 0.500], [0.000, 0.000, 0.000], [0.232, 0.232, 0.303], [0.768, 0.768, 0.697]]
}

***

{
  "formula": "K2BeTc",
  "functional": "SCAN",
  "state": "single point on PBEsol structure",
  "e_form_kcal_per_mol_atoms": 23.59,
  "lattice": [[2.678, 0.000, 0.000], [0.000, 6.015, 0.000], [-1.339, -3.008, 6.159]],
  "species": ["Be", "K", "K", "Tc"],
  "fractional_positions": [[0.204, 0.704, 0.408], [0.972, 0.972, 0.944], [0.766, 0.266, 0.533], [0.558, 0.558, 0.115]]
}

***

{
  "formula": "KBeTc2",
  "functional": "SCAN",
  "state": "single point on PBEsol structure",
  "e_form_kcal_per_mol_atoms": 20.10,
  "lattice": [[-1.714, -1.599, 0.937], [0.149, -2.557, -4.091], [4.568, -0.831, 3.534]],
  "species": ["Be", "K", "Tc", "Tc"],
  "fractional_positions": [[0.500, 0.000, 0.000], [0.000, 0.500, 0.000], [0.795, 0.795, 0.589], [0.205, 0.205, 0.411]]
}

***

{
  "formula": "K2BeTc",
  "functional": "SCAN",
  "state": "single point on PBEsol structure",
  "e_form_kcal_per_mol_atoms": 20.11,
  "lattice": [[2.716, 0.000, 0.000], [-1.358, 4.003, 0.015], [0.000, -0.476, 9.831]],
  "species": ["Be", "K", "K", "Tc"],
  "fractional_positions": [[0.753, 0.506, 0.339], [0.017, 0.034, 0.100], [0.245, 0.491, 0.656], [0.484, 0.969, 0.405]]
}

***

{
  "formula": "KBeTc",
  "functional": "SCAN",
  "state": "single point on PBEsol structure",
  "e_form_kcal_per_mol_atoms": 40.38,
  "lattice": [[4.436, 0.000, 0.000], [2.218, 3.841, 0.000], [2.218, 1.280, 3.622]],
  "species": ["Be", "K", "Tc"],
  "fractional_positions": [[0.250, 0.250, 0.250], [0.000, 0.000, 0.000], [0.500, 0.500, 0.500]]
}

***

{
  "formula": "KBeTc2",
  "functional": "SCAN",
  "state": "single point on PBEsol structure",
  "e_form_kcal_per_mol_atoms": 10.55,
  "lattice": [[-1.882, 1.966, 1.239], [-0.389, -1.838, 2.325], [6.115, 3.480, 3.765]],
  "species": ["Be", "K", "Tc", "Tc"],
  "fractional_positions": [[0.000, 0.999, 0.595], [0.500, 0.501, 0.264], [0.000, 0.000, 0.907], [0.500, 0.500, 0.733]]
}

***

{
  "formula": "KBeTc2",
  "functional": "SCAN",
  "state": "single point on PBEsol structure",
  "e_form_kcal_per_mol_atoms": 36.88,
  "lattice": [[-1.995, 1.169, -2.901], [-1.893, -3.191, 0.017], [-1.167, 2.872, 4.332]],
  "species": ["Be", "K", "Tc", "Tc"],
  "fractional_positions": [[0.500, 0.500, 0.000], [0.000, 0.000, 0.000], [0.750, 0.250, 0.500], [0.250, 0.750, 0.500]]
}

***

{
  "formula": "KBeTe2",
  "functional": "SCAN",
  "state": "single point on PBEsol structure",
  "lattice": [[4.794, 0.000, 0.000], [0.000, 4.794, 0.000], [-2.397, -2.397, 4.503]],
  "species": ["Be", "K", "Te", "Te"],
  "fractional_positions": [[0.500, 0.500, 0.000], [0.000, 0.000, 0.000], [0.750, 0.250, 0.500], [0.250, 0.750, 0.500]]
}

***

{
  "formula": "KBe2Te",
  "functional": "SCAN",
  "state": "single point on PBEsol structure",
  "lattice": [[-2.106, -1.506, -2.661], [1.231, -5.631, -0.378], [-3.417, -4.003, 2.379]],
  "species": ["Be", "Be", "K", "Te"],
  "fractional_positions": [[0.313, 0.687, 0.687], [0.687, 0.313, 0.313], [0.500, 0.000, 0.000], [0.000, 0.500, 0.500]]
}

***

{
  "formula": "KBeTe",
  "functional": "SCAN",
  "state": "single point on PBEsol structure",
  "lattice": [[4.834, 0.000, 0.000], [2.417, 4.187, 0.000], [2.417, 1.396, 3.947]],
  "species": ["Be", "K", "Te"],
  "fractional_positions": [[0.250, 0.250, 0.250], [0.000, 0.000, 0.000], [0.500, 0.500, 0.500]]
}

***

Calculated raw total energy, -20.539; -15.791; -35.577; -12.995; -19.829; -13.146; -14.163; -20.243; -19.102; -21.529; -12.907; -16.464 eV per atom (same order as the records).